La2PmSm2 | GGA-PBE | optimized geometry

```
La2PmSm2
1.0
4.876 -4.157 0.000
4.876 4.157 0.000
-3.829 0.000 8.675
La Pm Sm
4 2 4
Direct
0.055 0.717 0.851
0.283 0.945 0.649
0.717 0.055 0.351
0.945 0.283 0.149
0.218 0.782 0.250
0.782 0.218 0.750
0.274 0.393 0.524
0.393 0.274 0.024
0.607 0.726 0.976
0.726 0.607 0.476
```

**Total energy**: -23.5 eV per formula unit
**Space-group type**: C2/c

***

Dy2Si3Os | GGA-PBE | optimized geometry

```
Dy2Si3Os
1.0
0.000 4.128 7.085
3.987 0.000 7.085
3.987 4.128 0.000
Dy Si Os
4 6 2
Direct
0.241 0.759 0.759
0.250 0.250 0.250
0.750 0.750 0.750
0.759 0.241 0.241
0.167 0.665 0.335
0.332 0.332 0.668
0.335 0.833 0.167
0.665 0.167 0.833
0.668 0.668 0.332
0.833 0.335 0.665
0.165 0.165 0.835
0.835 0.835 0.165
```

**Total energy**: -40.6 eV per formula unit
**Space-group type**: Fmmm

***

SrZrTl | GGA-PBE | optimized geometry

```
SrZrTl
1.0
7.493 0.000 0.000
0.000 7.493 0.000
0.000 0.000 7.493
Sr Zr Tl
4 4 4
Direct
0.000 0.000 0.000
0.000 0.500 0.500
0.500 0.000 0.500
0.500 0.500 0.000
0.250 0.250 0.750
0.250 0.750 0.250
0.750 0.250 0.250
0.750 0.750 0.750
0.250 0.250 0.250
0.250 0.750 0.750
0.750 0.250 0.750
0.750 0.750 0.250
```

**Total energy**: -9.5 eV per formula unit
**Space-group type**: F-43m

***

SiPtI2 | GGA-PBE | optimized geometry

```
SiPtI2
1.0
6.834 0.000 0.000
0.000 6.834 0.000
0.000 0.000 11.326
Si Pt I
4 4 8
Direct
0.000 0.000 0.000
0.000 0.500 0.250
0.500 0.000 0.750
0.500 0.500 0.500
0.000 0.000 0.500
0.000 0.500 0.750
0.500 0.000 0.250
0.500 0.500 0.000
0.221 0.250 0.625
0.250 0.721 0.875
0.250 0.779 0.375
0.279 0.250 0.125
0.721 0.750 0.125
0.750 0.221 0.375
0.750 0.279 0.875
0.779 0.750 0.625
```

**Total energy**: -12.2 eV per formula unit
**Space-group type**: I-42d

***

Zr2CdAuBr | GGA-PBE | optimized geometry

```
Zr2CdAuBr
1.0
5.338 0.000 0.000
0.000 5.338 0.000
0.000 0.000 5.254
Zr Cd Au Br
2 1 1 1
Direct
0.000 0.500 0.000
0.500 0.000 0.000
0.000 0.000 0.000
0.500 0.500 0.500
0.000 0.000 0.500
```

**Total energy**: -17.4 eV per formula unit
**Space-group type**: P4/mmm

***

Sr3Te5Se12 | GGA-PBE | optimized geometry

```
Sr3Te5Se12
1.0
-8.706 8.706 8.706
8.706 -8.706 8.706
8.706 8.706 -8.706
Sr Te Se
12 20 48
Direct
0.125 0.250 0.375
0.125 0.375 0.750
0.250 0.375 0.125
0.250 0.875 0.625
0.375 0.125 0.250
0.375 0.750 0.125
0.625 0.250 0.875
0.625 0.875 0.750
0.750 0.125 0.375
0.750 0.625 0.875
0.875 0.625 0.250
0.875 0.750 0.625
0.000 0.000 0.000
0.000 0.000 0.500
0.000 0.500 0.000
0.000 0.500 0.500
0.125 0.750 0.875
0.125 0.875 0.250
0.250 0.125 0.875
0.250 0.625 0.375
0.375 0.250 0.625
0.375 0.625 0.750
0.500 0.000 0.000
0.500 0.000 0.500
0.500 0.500 0.000
0.500 0.500 0.500
0.625 0.375 0.250
0.625 0.750 0.375
0.750 0.375 0.625
0.750 0.875 0.125
0.875 0.125 0.750
0.875 0.250 0.125
0.042 0.210 0.131
0.042 0.332 0.911
0.079 0.710 0.668
0.079 0.869 0.411
0.089 0.631 0.421
0.089 0.958 0.668
0.131 0.042 0.210
0.131 0.589 0.921
0.168 0.210 0.579
0.168 0.458 0.589
0.210 0.131 0.042
0.210 0.579 0.168
0.290 0.332 0.921
0.290 0.458 0.369
0.332 0.911 0.042
0.332 0.921 0.290
0.369 0.290 0.458
0.369 0.579 0.911
0.411 0.079 0.869
0.411 0.832 0.542
0.421 0.089 0.631
0.421 0.832 0.790
0.458 0.369 0.290
0.458 0.589 0.168
0.542 0.411 0.832
0.542 0.631 0.710
0.579 0.168 0.210
0.579 0.911 0.369
0.589 0.168 0.458
0.589 0.921 0.131
0.631 0.421 0.089
0.631 0.710 0.542
0.668 0.079 0.710
0.668 0.089 0.958
0.710 0.542 0.631
0.710 0.668 0.079
0.790 0.421 0.832
0.790 0.869 0.958
0.832 0.542 0.411
0.832 0.790 0.421
0.869 0.411 0.079
0.869 0.958 0.790
0.911 0.042 0.332
0.911 0.369 0.579
0.921 0.131 0.589
0.921 0.290 0.332
0.958 0.668 0.089
0.958 0.790 0.869
```

**Total energy**: -72.2 eV per formula unit
**Space-group type**: Ia-3d

***

CoHgTe3 | GGA-PBE | optimized geometry

```
CoHgTe3
1.0
5.119 0.000 0.000
0.000 5.119 0.000
0.000 0.000 5.119
Co Hg Te
1 1 3
Direct
0.000 0.000 0.000
0.500 0.500 0.500
0.000 0.000 0.500
0.000 0.500 0.000
0.500 0.000 0.000
```

**Total energy**: -15.0 eV per formula unit
**Space-group type**: Pm-3m

***

YTl3Sb | GGA-PBE | optimized geometry

```
YTl3Sb
1.0
5.870 0.000 0.000
0.000 5.870 0.000
0.000 0.000 5.870
Y Tl Sb
1 3 1
Direct
0.000 0.000 0.000
0.000 0.000 0.500
0.000 0.500 0.000
0.500 0.000 0.000
0.500 0.500 0.500
```

**Total energy**: -14.8 eV per formula unit
**Space-group type**: Pm-3m

***

K3Sn3Pt2 | GGA-PBE | optimized geometry

```
K3Sn3Pt2
1.0
8.896 0.000 0.000
0.000 15.955 0.000
0.000 0.000 6.722
K Sn Pt
12 12 8
Direct
0.036 0.114 0.104
0.036 0.386 0.104
0.224 0.250 0.553
0.276 0.750 0.053
0.464 0.614 0.604
0.464 0.886 0.604
0.536 0.114 0.396
0.536 0.386 0.396
0.724 0.250 0.947
0.776 0.750 0.447
0.964 0.614 0.896
0.964 0.886 0.896
0.148 0.750 0.529
0.161 0.039 0.621
0.161 0.461 0.621
0.339 0.539 0.121
0.339 0.961 0.121
0.352 0.250 0.029
0.648 0.750 0.971
0.661 0.039 0.879
0.661 0.461 0.879
0.839 0.539 0.379
0.839 0.961 0.379
0.852 0.250 0.471
0.126 0.596 0.375
0.126 0.904 0.375
0.374 0.096 0.875
0.374 0.404 0.875
0.626 0.596 0.125
0.626 0.904 0.125
0.874 0.096 0.625
0.874 0.404 0.625
```

**Total energy**: -29.9 eV per formula unit
**Space-group type**: Pnma

***

CoSiAg2 | GGA-PBE | optimized geometry

```
CoSiAg2
1.0
4.492 0.000 0.000
0.000 2.873 0.000
-1.371 0.000 4.634
Co Si Ag
1 1 2
Direct
0.000 0.000 0.000
0.500 0.500 0.000
0.000 0.500 0.500
0.500 0.000 0.500
```

**Total energy**: -17.0 eV per formula unit
**Space-group type**: P2/m

***

Ca5Ag24 | GGA-PBE | optimized geometry

```
Ca5Ag24
1.0
-5.265 5.265 5.265
5.265 -5.265 5.265
5.265 5.265 -5.265
Ca Ag
5 24
Direct
0.000 0.000 0.000
0.000 0.000 0.379
0.000 0.379 0.000
0.379 0.000 0.000
0.621 0.621 0.621
0.000 0.326 0.598
0.000 0.598 0.326
0.000 0.624 0.810
0.000 0.810 0.624
0.186 0.376 0.376
0.190 0.190 0.814
0.190 0.814 0.190
0.272 0.674 0.674
0.326 0.000 0.598
0.326 0.598 0.000
0.376 0.186 0.376
0.376 0.376 0.186
0.402 0.402 0.728
0.402 0.728 0.402
0.598 0.000 0.326
0.598 0.326 0.000
0.624 0.000 0.810
0.624 0.810 0.000
0.674 0.272 0.674
0.674 0.674 0.272
0.728 0.402 0.402
0.810 0.000 0.624
0.810 0.624 0.000
0.814 0.190 0.190
```

**Total energy**: -82.0 eV per formula unit
**Space-group type**: I-43m

***

TmHfCoTc | GGA-PBE | optimized geometry

```
TmHfCoTc
1.0
6.528 0.000 0.000
0.000 6.528 0.000
0.000 0.000 6.528
Tm Hf Co Tc
4 4 4 4
Direct
0.000 0.000 0.000
0.000 0.500 0.500
0.500 0.000 0.500
0.500 0.500 0.000
0.000 0.000 0.500
0.000 0.500 0.000
0.500 0.000 0.000
0.500 0.500 0.500
0.250 0.250 0.250
0.250 0.750 0.750
0.750 0.250 0.750
0.750 0.750 0.250
0.250 0.250 0.750
0.250 0.750 0.250
0.750 0.250 0.250
0.750 0.750 0.750
```

**Total energy**: -33.0 eV per formula unit
**Space-group type**: F-43m

***

La2Nd3 | GGA-PBE | optimized geometry

```
La2Nd3
1.0
-3.247 8.488 3.264
3.247 -8.488 3.264
3.247 8.488 -3.264
La Nd
4 6
Direct
0.191 0.121 0.312
0.309 0.621 0.930
0.691 0.379 0.070
0.809 0.879 0.688
0.097 0.599 0.695
0.250 0.250 0.000
0.403 0.099 0.502
0.597 0.901 0.498
0.750 0.750 0.000
0.903 0.401 0.305
```

**Total energy**: -23.6 eV per formula unit
**Space-group type**: Ibam

***

DyZr2Cd | GGA-PBE | optimized geometry

```
DyZr2Cd
1.0
3.274 0.000 0.000
0.000 3.274 0.000
0.000 0.000 9.001
Dy Zr Cd
1 2 1
Direct
0.000 0.000 0.000
0.500 0.500 0.264
0.500 0.500 0.736
0.000 0.000 0.500
```

**Total energy**: -22.6 eV per formula unit
**Space-group type**: P4/mmm

***

Rb3Be2F8 | GGA-PBE | optimized geometry

```
Rb3Be2F8
1.0
2.940 1.698 7.276
-2.940 1.698 7.276
0.000 -3.395 7.276
Rb Be F
3 2 8
Direct
0.000 0.000 0.000
0.207 0.207 0.207
0.793 0.793 0.793
0.411 0.411 0.411
0.589 0.589 0.589
0.275 0.712 0.712
0.288 0.288 0.725
0.288 0.725 0.288
0.339 0.339 0.339
0.661 0.661 0.661
0.712 0.275 0.712
0.712 0.712 0.275
0.725 0.288 0.288
```

**Total energy**: -62.3 eV per formula unit
**Space-group type**: R-3m

***

RbZrPaO6 | GGA-PBE | optimized geometry

```
RbZrPaO6
1.0
6.000 0.000 0.000
-3.000 5.196 0.000
0.000 0.000 4.933
Rb Zr Pa O
1 1 1 6
Direct
0.000 0.000 0.000
0.333 0.667 0.000
0.667 0.333 0.500
0.006 0.441 0.246
0.006 0.564 0.754
0.436 0.441 0.754
0.436 0.994 0.246
0.559 0.564 0.246
0.559 0.994 0.754
```

**Total energy**: -71.1 eV per formula unit
**Space-group type**: P312

***

GaPtPb2 | GGA-PBE | optimized geometry

```
GaPtPb2
1.0
4.519 0.000 0.000
0.000 4.519 0.000
0.000 0.000 19.680
Ga Pt Pb
4 4 8
Direct
0.000 0.000 0.000
0.000 0.500 0.250
0.500 0.000 0.750
0.500 0.500 0.500
0.000 0.000 0.500
0.000 0.500 0.750
0.500 0.000 0.250
0.500 0.500 0.000
0.242 0.250 0.625
0.250 0.742 0.875
0.250 0.758 0.375
0.258 0.250 0.125
0.742 0.750 0.125
0.750 0.242 0.375
0.750 0.258 0.875
0.758 0.750 0.625
```

**Total energy**: -15.8 eV per formula unit
**Space-group type**: I-42d

***

TcSbIN2 | GGA-PBE | optimized geometry

```
TcSbIN2
1.0
4.079 0.000 0.000
0.000 4.079 0.000
0.000 0.000 5.547
Tc Sb I N
1 1 1 2
Direct
0.000 0.000 0.000
0.500 0.500 0.500
0.000 0.000 0.500
0.000 0.500 0.000
0.500 0.000 0.000
```

**Total energy**: -27.1 eV per formula unit
**Space-group type**: P4/mmm

***

Pm2MgNi9 | GGA-PBE | optimized geometry

```
Pm2MgNi9
1.0
2.476 1.429 8.172
-2.476 1.429 8.172
0.000 -2.859 8.172
Pm Mg Ni
2 1 9
Direct
0.136 0.136 0.136
0.864 0.864 0.864
0.000 0.000 0.000
0.080 0.580 0.580
0.333 0.333 0.333
0.420 0.420 0.920
0.420 0.920 0.420
0.500 0.500 0.500
0.580 0.080 0.580
0.580 0.580 0.080
0.667 0.667 0.667
0.920 0.420 0.420
```

**Total energy**: -65.9 eV per formula unit
**Space-group type**: R-3m

***

Computed DOS(E_F), in the same sequence as the records: 6.5, 3.8, 6.3, 0.0, 6.8, 11.8, 7.2, 4.2, 4.7, 2.5, 13.9, 4.4, 8.1, 4.0, 17.4, 2.0, 1.9, 4.6, 11.6 states/eV/f.u..